La2Si4Mo3 | PBE | optimized geometry

Cell: 7.0469 7.0811 6.9764 Å, 90.00 109.19 90.00°
Fractional coordinates of all 18 atoms:
Si1 0.1019 0.5525 0.8800
La1 0.1844 0.1646 0.0586
Mo1 0.2598 0.8395 0.7526
Si2 0.8981 0.0525 0.6200
Si3 0.8981 0.4475 0.1200
Mo2 0.5000 0.0000 0.5000
Si4 0.4926 0.6340 0.6289
Mo3 0.2598 0.6605 0.2526
Si5 0.5074 0.3660 0.3711
Mo4 0.7402 0.1605 0.2474
Si6 0.1019 0.9475 0.3800
Si7 0.4926 0.8660 0.1289
Mo5 0.7402 0.3395 0.7474
La2 0.8156 0.8354 0.9414
La3 0.1844 0.3354 0.5586
Mo6 0.5000 0.5000 0.0000
La4 0.8156 0.6646 0.4414
Si8 0.5074 0.1340 0.8711

---

MgFeCu4As2 | PBE | optimized geometry

Cell: 4.2798 4.2798 6.0411 Å, 90.00 90.00 90.00°
Site moments in Bohr magnetons follow the coordinates.
Fractional coordinates of all 8 atoms:
As1 0.5000 0.5000 0.5000  0.00
Fe1 0.5000 0.5000 0.0000  2.49
Cu1 0.5000 0.0000 0.2333  -0.01
As2 0.0000 0.0000 0.0000  0.01
Cu2 0.5000 0.0000 0.7667  -0.01
Cu3 0.0000 0.5000 0.7667  -0.02
Cu4 0.0000 0.5000 0.2333  -0.02
Mg1 0.0000 0.0000 0.5000  -0.01

Computed properties:
As for the distance to the lowest polymorph of the same formula: 0.045 eV/atom.

---

LiGdTe3Pb | PBE | optimized geometry

Cell: 9.7991 9.7991 9.2708 Å, 103.17 103.17 25.80°
Fractional coordinates of all 12 atoms:
Te1 0.5000 0.5000 0.0000
Gd1 0.1658 0.1658 0.5890
Pb1 0.1332 0.1332 0.0641
Te2 0.6671 0.6671 0.3510
Li1 0.5034 0.5034 0.6976
Pb2 0.8668 0.8668 0.9359
Te3 0.6790 0.6790 0.8289
Te4 0.3210 0.3210 0.1711
Gd2 0.8342 0.8342 0.4110
Te5 0.0000 0.0000 0.5000
Te6 0.3329 0.3329 0.6490
Li2 0.4966 0.4966 0.3024

Computed properties:
As for the distance to the lowest polymorph of the same formula: 0.000 eV/atom.

---

LiTcAuS3 | PBE | optimized geometry

Cell: 3.2130 7.1755 9.4734 Å, 90.00 90.00 77.06°
Site moments in Bohr magnetons follow the coordinates.
Fractional coordinates of all 12 atoms:
Au1 0.6595 0.6809 0.2500  0.03
Li1 0.6830 0.6340 0.7500  0.01
S1 0.3688 0.2624 0.9904  0.03
Tc1 0.0000 0.0000 0.0000  0.88
S2 0.6312 0.7376 0.0096  0.03
S3 0.3688 0.2624 0.5096  0.02
Li2 0.3170 0.3660 0.2500  0.01
S4 0.0409 0.9182 0.7500  0.05
Tc2 0.0000 0.0000 0.5000  0.88
S5 0.6312 0.7376 0.4904  0.02
Au2 0.3405 0.3191 0.7500  0.03
S6 0.9591 0.0818 0.2500  0.05

---

Tm5CSe4 | PBE | optimized geometry

Cell: 6.8302 6.8302 6.8302 Å, 99.51 99.51 132.03°
Fractional coordinates of all 10 atoms:
Se1 0.4099 0.1944 0.6022
Se2 0.1944 0.5922 0.7845
Se3 0.8077 0.4099 0.2155
C1 0.0014 0.0014 0.0000
Tm1 0.5006 0.5006 0.0000
Tm2 0.7431 0.0923 0.8332
Se4 0.5922 0.8077 0.3978
Tm3 0.2591 0.9098 0.1668
Tm4 0.9098 0.7431 0.6508
Tm5 0.0923 0.2591 0.3492

---

NaYCoSb | PBE | optimized geometry

Cell: 5.0206 5.0206 5.0206 Å, 60.00 60.00 60.00°
Fractional coordinates of all 4 atoms:
Na1 0.7500 0.7500 0.7500
Co1 0.5000 0.5000 0.5000
Sb1 0.0000 0.0000 0.0000
Y1 0.2500 0.2500 0.2500

Computed properties:
As for the distance to the lowest polymorph of the same formula: 0.133 eV/atom.

---

YHfB2 | PBE | optimized geometry

Cell: 4.4133 4.4133 4.4133 Å, 60.00 60.00 60.00°
Fractional coordinates of all 4 atoms:
B1 0.0000 0.0000 0.0000
B2 0.2500 0.2500 0.2500
Y1 0.7500 0.7500 0.7500
Hf1 0.5000 0.5000 0.5000

---

YMgTe2AuS | PBE | optimized geometry

Cell: 7.3666 7.3666 10.4147 Å, 90.00 90.00 147.76°
Fractional coordinates of all 12 atoms:
Y1 0.5000 0.5000 0.0000
Te1 0.1580 0.8420 0.5666
Te2 0.8420 0.1580 0.0666
Mg1 0.7816 0.2184 0.7500
Au1 0.0198 0.9802 0.7500
Te3 0.8420 0.1580 0.4334
S1 0.5977 0.4023 0.2500
Mg2 0.2184 0.7816 0.2500
Au2 0.9802 0.0198 0.2500
S2 0.4023 0.5977 0.7500
Y2 0.5000 0.5000 0.5000
Te4 0.1580 0.8420 0.9334

---

LaNdAl2Br2 | PBE | optimized geometry

Cell: 4.3548 4.3548 11.7388 Å, 90.00 90.00 120.00°
Fractional coordinates of all 6 atoms:
Br1 0.6667 0.3333 0.6616
Al1 0.6667 0.3333 0.0154
Nd1 0.0000 0.0000 0.8136
Al2 0.3333 0.6667 0.9837
La1 0.0000 0.0000 0.1862
Br2 0.3333 0.6667 0.3396

---

HgOs2Pb | PBE | optimized geometry

Cell: 4.7352 4.7352 4.7352 Å, 60.00 60.00 60.00°
Site moments in Bohr magnetons follow the coordinates.
Fractional coordinates of all 4 atoms:
Hg1 0.2500 0.2500 0.2500  0.00
Os1 0.7500 0.7500 0.7500  0.12
Os2 0.0000 0.0000 0.0000  0.09
Pb1 0.5000 0.5000 0.5000  0.00

---

Fe2BP | PBE | optimized geometry

Cell: 3.3751 4.0509 5.4650 Å, 90.00 90.00 90.00°
Fractional coordinates of all 8 atoms:
B1 0.0000 0.5985 0.0376
B2 0.0000 0.4015 0.5376
Fe1 0.0000 0.8665 0.6845
P1 0.5000 0.8869 0.9642
Fe2 0.5000 0.3819 0.8137
Fe3 0.0000 0.1335 0.1845
Fe4 0.5000 0.6181 0.3137
P2 0.5000 0.1131 0.4642

Computed properties:
As for the distance to the lowest polymorph of the same formula: 0.127 eV/atom.

---

SrTmGe | PBE | optimized geometry

Cell: 5.0743 5.0743 5.0743 Å, 60.00 60.00 60.00°
Fractional coordinates of all 3 atoms:
Sr1 0.2500 0.2500 0.2500
Tm1 0.7500 0.7500 0.7500
Ge1 0.0000 0.0000 0.0000

---

KAlPt | PBE | optimized geometry

Cell: 4.9396 4.9396 4.9396 Å, 60.00 60.00 60.00°
Fractional coordinates of all 3 atoms:
Al1 0.2500 0.2500 0.2500
K1 0.0000 0.0000 0.0000
Pt1 0.7500 0.7500 0.7500

Computed properties:
As for the distance to the lowest polymorph of the same formula: 0.757 eV/atom.

---

HfInSi | PBE | optimized geometry

Cell: 4.5183 4.5183 4.5183 Å, 60.00 60.00 60.00°
Fractional coordinates of all 3 atoms:
Si1 0.0000 0.0000 0.0000
In1 0.7500 0.7500 0.7500
Hf1 0.2500 0.2500 0.2500

---

KHgAu | PBE | optimized geometry

Cell: 5.2689 5.2689 5.2689 Å, 60.00 60.00 60.00°
Fractional coordinates of all 3 atoms:
Hg1 0.2500 0.2500 0.2500
K1 0.7500 0.7500 0.7500
Au1 0.0000 0.0000 0.0000

Computed properties:
As for the distance to the lowest polymorph of the same formula: 0.000 eV/atom.

---

RbAlCoTe3 | PBE | optimized geometry

Cell: 4.0983 9.8217 9.9815 Å, 72.47 89.99 89.99°
Fractional coordinates of all 12 atoms:
Te1 0.2500 0.3537 0.3480
Te2 0.2500 0.9627 0.3387
Te3 0.7500 0.0373 0.6613
Te4 0.2500 0.6947 0.9258
Co1 0.7500 0.5560 0.9154
Te5 0.7500 0.3053 0.0742
Al1 0.2500 0.8543 0.6240
Al2 0.7500 0.1457 0.3760
Te6 0.7500 0.6463 0.6520
Rb1 0.2499 0.3126 0.7464
Rb2 0.7501 0.6874 0.2536
Co2 0.2500 0.4440 0.0846

Computed properties:
As for the distance to the lowest polymorph of the same formula: 0.000 eV/atom.

---

Tb2S3 | PBE | optimized geometry

Cell: 7.3145 3.9110 15.2241 Å, 90.00 90.00 90.00°
Fractional coordinates of all 20 atoms:
S1 0.5093 0.7500 0.8914
S2 0.3513 0.2500 0.7185
Tb1 0.2336 0.2500 0.5433
Tb2 0.3579 0.2500 0.2958
Tb3 0.2664 0.7500 0.0433
S3 0.3758 0.7500 0.4327
S4 0.4907 0.2500 0.1086
S5 0.0093 0.7500 0.6086
Tb4 0.8579 0.2500 0.2042
S6 0.9907 0.2500 0.3914
Tb5 0.7336 0.2500 0.9567
S7 0.1487 0.7500 0.2185
S8 0.1242 0.2500 0.9327
S9 0.6242 0.2500 0.5673
S10 0.8513 0.2500 0.7815
Tb6 0.6421 0.7500 0.7042
S11 0.6487 0.7500 0.2815
S12 0.8758 0.7500 0.0673
Tb7 0.1421 0.7500 0.7958
Tb8 0.7664 0.7500 0.4567

---

DyHoSi | PBE | optimized geometry

Cell: 4.8261 4.8261 4.8261 Å, 60.00 60.00 60.00°
Fractional coordinates of all 3 atoms:
Ho1 0.7500 0.7500 0.7500
Si1 0.0000 0.0000 0.0000
Dy1 0.2500 0.2500 0.2500

Computed properties:
As for the distance to the lowest polymorph of the same formula: 0.000 eV/atom.

---

DyAl2Ni | PBE | optimized geometry

Cell: 5.4770 5.4770 6.8775 Å, 90.00 90.00 136.52°
Fractional coordinates of all 8 atoms:
Dy1 0.0613 0.9387 0.2500
Ni1 0.7842 0.2158 0.2500
Al1 0.3434 0.6566 0.0545
Al2 0.6566 0.3434 0.9455
Ni2 0.2158 0.7842 0.7500
Al3 0.3434 0.6566 0.4455
Al4 0.6566 0.3434 0.5545
Dy2 0.9387 0.0613 0.7500

---

NpU3S4 | PBE | optimized geometry

Cell: 5.4593 5.4593 5.4593 Å, 90.00 90.00 90.00°
Site moments in Bohr magnetons follow the coordinates.
Fractional coordinates of all 8 atoms:
S1 0.0000 0.0000 0.5000  -0.07
S2 0.5000 0.5000 0.5000  -0.06
U1 0.0000 0.5000 0.5000  2.06
U2 0.5000 0.0000 0.5000  1.94
U3 0.5000 0.5000 0.0000  1.82
Np1 0.0000 0.0000 0.0000  3.71
S3 0.0000 0.5000 0.0000  -0.07
S4 0.5000 0.0000 0.0000  -0.08

---

LuZnCdFe | PBE | optimized geometry

Cell: 4.7052 4.7052 4.7052 Å, 60.00 60.00 60.00°
Fractional coordinates of all 4 atoms:
Fe1 0.7500 0.7500 0.7500
Lu1 0.2500 0.2500 0.2500
Cd1 0.5000 0.5000 0.5000
Zn1 0.0000 0.0000 0.0000

Computed properties:
As for the distance to the lowest polymorph of the same formula: 0.000 eV/atom. The formation enthalpy at 0 K is 0.057 eV/atom.

---

ZrSiB4 | PBE | optimized geometry

Cell: 3.0672 3.0672 7.1979 Å, 90.00 90.00 120.00°
Fractional coordinates of all 6 atoms:
B1 0.3333 0.6667 0.7420
Zr1 0.0000 0.0000 0.0000
B2 0.6667 0.3333 0.2580
B3 0.3333 0.6667 0.2580
Si1 0.0000 0.0000 0.5000
B4 0.6667 0.3333 0.7420

Computed properties:
As for the distance to the lowest polymorph of the same formula: 0.000 eV/atom.

---

PrNdAg2P4 | PBE | optimized geometry

Cell: 3.9375 3.9375 10.4511 Å, 90.00 90.00 90.00°
Fractional coordinates of all 8 atoms:
Ag1 0.0000 0.5000 0.4991
Ag2 0.5000 0.0000 0.4991
P1 0.5000 0.5000 0.3245
P2 0.0000 0.0000 0.6734
P3 0.0000 0.5000 0.0016
Nd1 0.0000 0.0000 0.2242
Pr1 0.5000 0.5000 0.7765
P4 0.5000 0.0000 0.0016

---

BeCuBiAu | PBE | optimized geometry

Cell: 4.6197 4.6197 4.6197 Å, 60.00 60.00 60.00°
Fractional coordinates of all 4 atoms:
Bi1 0.0000 0.0000 0.0000
Be1 0.7500 0.7500 0.7500
Au1 0.5000 0.5000 0.5000
Cu1 0.2500 0.2500 0.2500

Computed properties:
As for the distance to the lowest polymorph of the same formula: 0.000 eV/atom.

---

Zr4TlSbC2 | PBE | optimized geometry

Cell: 3.4137 3.4137 14.6479 Å, 90.00 90.00 120.00°
Fractional coordinates of all 8 atoms:
Zr1 0.0000 0.0000 0.6733
Tl1 0.6667 0.3333 0.5000
Zr2 0.0000 0.0000 0.3267
Sb1 0.0000 0.0000 0.0000
C1 0.3333 0.6667 0.2440
Zr3 0.6667 0.3333 0.8416
Zr4 0.6667 0.3333 0.1584
C2 0.3333 0.6667 0.7560

---

| no. | E_tot (eV/atom) | ρ (g/cm³) |
| --- | --- | --- |
| 1 | -7.6264 | 6.8 |
| 2 | -4.0754 | 7.3 |
| 3 | -4.2301 | 6.6 |
| 4 | -4.9854 | 6.2 |
| 5 | -6.0429 | 9.0 |
| 6 | -4.8158 | 5.4 |
| 7 | -5.9855 | 7.9 |
| 8 | -4.4504 | 6.6 |
| 9 | -4.5673 | 4.3 |
| 10 | -5.3608 | 17.4 |
| 11 | -7.3844 | 6.8 |
| 12 | -3.9568 | 5.9 |
| 13 | -2.7277 | 5.1 |
| 14 | -5.8199 | 8.2 |
| 15 | -1.7812 | 7.0 |
| 16 | -3.9622 | 4.8 |
| 17 | -6.4042 | 6.3 |
| 18 | -5.3343 | 7.4 |
| 19 | -5.0573 | 6.4 |
| 20 | -9.2829 | 11.0 |
| 21 | -3.6911 | 9.2 |
| 22 | -6.9452 | 4.6 |
| 23 | -5.2988 | 6.4 |
| 24 | -3.3244 | 11.4 |
| 25 | -8.0933 | 8.0 |